# Nd2AlFeO6

A relaxed structure of Nd2AlFeO6 (PBE+U, Alexandria via LeMat-Bulk).

Unit cell a=5.404 b=5.414 c=9.343 alpha=90.00 beta=125.26 gamma=90.00
Space group P2_1/c (No. 14)
Inequivalent atoms, fractional coordinates:
Nd (0.242, 0.034, 0.250)
Al (0.000, 0.000, 0.500)
Fe (0.500, 0.000, 0.000)
O (0.178, 0.224, 0.961)
O (0.237, 0.718, 0.962)
O (0.318, 0.012, 0.746)

Values from the calculation:
The spin magnetization comes out at 1.01 μB/f.u. For the uncorrected energy, the calculation gives -7.565 eV/atom. The density of states at the Fermi level is 0.0 states/eV/f.u.